Entry 1:
Tl3AgS6 | GGA-PBE | relaxed

Values from the calculation:
Raw total energy = -3.394 eV/atom
Spin magnetization = 0.0 μB per cell
Energy relative to the elements, uncorrected = 0.077 eV/atom

a = 6.5995 Å, b = 6.5995 Å, c = 6.5995 Å
α = 101.68°, β = 101.68°, γ = 101.68°
Last column: nearest neighbours and their distance in Å.
Element x y z (fractional)
Tl1 0.1965 0.1965 0.6069  1 Ag 3.04, 4 S 3.11-3.13
Tl2 0.1965 0.6069 0.1965  1 Ag 3.04, 4 S 3.11-3.13
Tl3 0.6069 0.1965 0.1965  1 Ag 3.04, 4 S 3.11-3.13
Ag1 0.1261 0.1261 0.1261  3 S 2.70
S1 0.1395 0.8055 0.8055  1 S 2.00
S2 0.3660 0.6927 0.6927  1 S 2.00
S3 0.6927 0.3660 0.6927  1 S 2.00
S4 0.6927 0.6927 0.3660  1 S 2.00
S5 0.8055 0.1395 0.8055  1 S 2.00
S6 0.8055 0.8055 0.1395  1 S 2.00

Entry 2:
Pu2ZrPaN4 | GGA-PBE | relaxed

Values from the calculation:
Raw total energy = -11.496 eV/atom
Spin magnetization = 9.9 μB per cell
Energy relative to the elements, uncorrected = -1.495 eV/atom

a = 5.9422 Å, b = 3.4293 Å, c = 5.9485 Å
α = 90.00°, β = 109.13°, γ = 90.00°
Last column: nearest neighbours and their distance in Å.
Element x y z (fractional)
Pu1 0.0000 0.0000 0.0000  6 N 2.50-2.51
Pu2 0.0000 0.5000 0.5000  6 N 2.45-2.46
Zr1 0.5000 0.0000 0.5000  6 N 2.33-2.37
Pa1 0.5000 0.5000 0.0000  6 N 2.40-2.41
N1 0.2641 0.0000 0.7458  1 Zr 2.33, 2 Pa 2.41, 3 Pu 2.46-2.51
N2 0.2662 0.5000 0.2611  2 Zr 2.37, 1 Pa 2.40, 3 Pu 2.45-2.50
N3 0.7338 0.5000 0.7389  2 Zr 2.37, 1 Pa 2.40, 3 Pu 2.45-2.50
N4 0.7359 0.0000 0.2542  1 Zr 2.33, 2 Pa 2.41, 3 Pu 2.46-2.51

Entry 3:
Ce3H8Ru2 | GGA-PBE | relaxed

Values from the calculation:
Raw total energy = -5.200 eV/atom
Spin magnetization = 1.9 μB per cell

a = 7.3130 Å, b = 7.3130 Å, c = 7.3130 Å
α = 39.69°, β = 39.69°, γ = 39.69°
Last column: nearest neighbours and their distance in Å.
Element x y z (fractional)
Ce1 0.0000 0.0000 0.0000  6 H 2.36
Ce2 0.2067 0.2067 0.2067  10 H 2.40-2.66
Ce3 0.7933 0.7933 0.7933  10 H 2.40-2.66
H1 0.1653 0.7642 0.7642  1 Ru 1.73
H2 0.2358 0.2358 0.8347  1 Ru 1.73
H3 0.2358 0.8347 0.2358  1 Ru 1.73
H4 0.3386 0.3386 0.3386  1 Ru 1.71
H5 0.6614 0.6614 0.6614  1 Ru 1.71
H6 0.7642 0.1653 0.7642  1 Ru 1.73
H7 0.7642 0.7642 0.1653  1 Ru 1.73
H8 0.8347 0.2358 0.2358  1 Ru 1.73
Ru1 0.4235 0.4235 0.4235  4 H 1.71-1.73
Ru2 0.5765 0.5765 0.5765  4 H 1.71-1.73

Entry 4:
Pr4HoTm10 | GGA-PBE | relaxed

Values from the calculation:
ΔE_f = 6.42 kcal/mol of atoms
Raw total energy = -4.282 eV/atom
Spin magnetization = 0.0 μB per cell

a = 8.8670 Å, b = 8.8670 Å, c = 8.8670 Å
α = 101.58°, β = 101.58°, γ = 126.76°
Last column: nearest neighbours and their distance in Å.
Element x y z (fractional)
Pr1 0.2266 0.2266 0.4533  8 Tm 3.46-3.55, 1 Ho 3.59
Pr2 0.2266 0.7734 0.0000  8 Tm 3.46-3.55, 1 Ho 3.59
Pr3 0.7734 0.2266 0.0000  8 Tm 3.46-3.55, 1 Ho 3.59
Pr4 0.7734 0.7734 0.5467  8 Tm 3.46-3.55, 1 Ho 3.59
Ho1 0.0000 0.0000 0.0000  8 Tm 3.30, 4 Pr 3.59
Tm1 0.0870 0.2949 0.7921  4 Tm 3.26-3.30, 1 Ho 3.30, 4 Pr 3.46-3.55
Tm2 0.2500 0.7500 0.5000  4 Tm 3.29
Tm3 0.2949 0.0870 0.7921  4 Tm 3.26-3.30, 1 Ho 3.30, 4 Pr 3.46-3.55
Tm4 0.2949 0.5028 0.2079  4 Tm 3.26-3.30, 1 Ho 3.30, 4 Pr 3.46-3.55
Tm5 0.4972 0.7051 0.7921  4 Tm 3.26-3.30, 1 Ho 3.30, 4 Pr 3.46-3.55
Tm6 0.5028 0.2949 0.2079  4 Tm 3.26-3.30, 1 Ho 3.30, 4 Pr 3.46-3.55
Tm7 0.7051 0.4972 0.7921  4 Tm 3.26-3.30, 1 Ho 3.30, 4 Pr 3.46-3.55
Tm8 0.7051 0.9130 0.2079  4 Tm 3.26-3.30, 1 Ho 3.30, 4 Pr 3.46-3.55
Tm9 0.7500 0.2500 0.5000  4 Tm 3.29
Tm10 0.9130 0.7051 0.2079  4 Tm 3.26-3.30, 1 Ho 3.30, 4 Pr 3.46-3.55

Entry 5:
Ba5Ga2I2 | GGA-PBE | relaxed

Values from the calculation:
Raw total energy = -2.868 eV/atom
Spin magnetization = 0.0 μB per cell
Energy relative to the elements, uncorrected = -0.782 eV/atom

a = 10.1643 Å, b = 10.1643 Å, c = 9.2595 Å
α = 90.00°, β = 90.00°, γ = 54.21°
Last column: nearest neighbours and their distance in Å.
Element x y z (fractional)
Ba1 0.0000 0.0000 0.0000  4 Ga 3.67, 2 I 3.71, 4 Ba 4.10
Ba2 0.0407 0.7163 0.6601  3 Ga 3.44-3.57, 3 I 3.78-3.80
Ba3 0.2162 0.5407 0.1601  3 Ga 3.44-3.57, 3 I 3.78-3.80
Ba4 0.2838 0.9593 0.6601  3 Ga 3.44-3.57, 3 I 3.78-3.80
Ba5 0.4593 0.7837 0.1601  3 Ga 3.44-3.57, 3 I 3.78-3.80
Ba6 0.5000 0.5000 0.5000  4 Ga 3.67, 2 I 3.71, 4 Ba 4.10
Ba7 0.5407 0.2162 0.8399  3 Ga 3.44-3.57, 3 I 3.78-3.80
Ba8 0.7163 0.0407 0.3399  3 Ga 3.44-3.57, 3 I 3.78-3.80
Ba9 0.7837 0.4593 0.8399  3 Ga 3.44-3.57, 3 I 3.78-3.80
Ba10 0.9593 0.2838 0.3399  3 Ga 3.44-3.57, 3 I 3.78-3.80
Ga1 0.1238 0.8762 0.3765  1 Ga 3.24, 6 Ba 3.44-3.57
Ga2 0.3762 0.6238 0.8765  1 Ga 3.24, 6 Ba 3.44-3.57
Ga3 0.6238 0.3762 0.1235  1 Ga 3.24, 6 Ba 3.44-3.57
Ga4 0.8762 0.1238 0.6235  1 Ga 3.24, 6 Ba 3.44-3.57
I1 0.2052 0.2052 0.0000  7 Ba 3.71-3.80
I2 0.2948 0.2948 0.5000  7 Ba 3.71-3.80
I3 0.7052 0.7052 0.5000  7 Ba 3.71-3.80
I4 0.7948 0.7948 0.0000  7 Ba 3.71-3.80

Entry 6:
Pm4TeAuSe2 | GGA-PBE | relaxed

Values from the calculation:
Raw total energy = -5.507 eV/atom
Spin magnetization = 0.0 μB per cell
Energy relative to the elements, uncorrected = -1.458 eV/atom

a = 7.4636 Å, b = 4.2037 Å, c = 7.5339 Å
α = 90.00°, β = 108.51°, γ = 90.00°
Last column: nearest neighbours and their distance in Å.
Element x y z (fractional)
Pm1 0.2374 0.0000 0.2325  3 Se 2.94-3.01, 1 Au 3.08, 2 Te 3.13
Pm2 0.2434 0.5000 0.7549  3 Se 2.97-3.04, 2 Au 3.03, 1 Te 3.11
Pm3 0.7566 0.5000 0.2451  3 Se 2.97-3.04, 2 Au 3.03, 1 Te 3.11
Pm4 0.7626 0.0000 0.7675  3 Se 2.94-3.01, 1 Au 3.08, 2 Te 3.13
Te1 0.5000 0.5000 0.5000  6 Pm 3.11-3.13
Au1 0.0000 0.0000 0.5000  6 Pm 3.03-3.08
Se1 0.0000 0.5000 0.0000  6 Pm 2.94-2.97
Se2 0.5000 0.0000 0.0000  6 Pm 3.01-3.04

Entry 7:
Tl2HgBi2 | GGA-PBE | relaxed

Values from the calculation:
ΔE_f = 1.92 kcal/mol of atoms
Polymorph energy (0 for the lowest one) = 92 meV/atom
Raw total energy = -2.476 eV/atom
Spin magnetization = 0.0 μB per cell

a = 9.6954 Å, b = 9.6954 Å, c = 3.5182 Å
α = 90.00°, β = 90.00°, γ = 90.00°
Last column: nearest neighbours and their distance in Å.
Element x y z (fractional)
Tl1 0.1408 0.3592 0.0000  6 Bi 3.29-3.38, 2 Tl 3.52
Tl2 0.3592 0.8592 0.0000  6 Bi 3.29-3.38, 2 Tl 3.52
Tl3 0.6408 0.1408 0.0000  6 Bi 3.29-3.38, 2 Tl 3.52
Tl4 0.8592 0.6408 0.0000  6 Bi 3.29-3.38, 2 Tl 3.52
Hg1 0.0000 0.0000 0.5000  2 Hg 3.52, 4 Bi 3.66
Hg2 0.5000 0.5000 0.5000  2 Hg 3.52, 4 Bi 3.66
Bi1 0.1565 0.6565 0.5000  6 Tl 3.29-3.38, 2 Bi 3.52, 2 Hg 3.66
Bi2 0.3435 0.1565 0.5000  6 Tl 3.29-3.38, 2 Bi 3.52, 2 Hg 3.66
Bi3 0.6565 0.8435 0.5000  6 Tl 3.29-3.38, 2 Bi 3.52, 2 Hg 3.66
Bi4 0.8435 0.3435 0.5000  6 Tl 3.29-3.38, 2 Bi 3.52, 2 Hg 3.66

Entry 8:
CrOs2Pt | GGA-PBE | relaxed

Values from the calculation:
ΔE_f = 8.75 kcal/mol of atoms
Raw total energy = -9.152 eV/atom
Spin magnetization = 1.8 μB per cell

a = 2.7118 Å, b = 4.6259 Å, c = 4.7102 Å
α = 90.00°, β = 90.46°, γ = 90.00°
Last column: nearest neighbours and their distance in Å.
Element x y z (fractional)
Cr1 0.0000 0.0000 0.0000  4 Os 2.70, 4 Pt 2.71-2.73, 2 Cr 2.71
Os1 0.3039 0.5000 0.2378  5 Os 2.49-2.77, 2 Pt 2.67, 2 Cr 2.70
Os2 0.6961 0.5000 0.7622  5 Os 2.49-2.77, 2 Pt 2.67, 2 Cr 2.70
Pt1 0.5000 0.0000 0.5000  4 Os 2.67, 4 Cr 2.71-2.73, 2 Pt 2.71

Entry 9:
Na2PaSbS5 | GGA-PBE | relaxed

Values from the calculation:
Raw total energy = -5.136 eV/atom
Spin magnetization = 0.0 μB per cell
Energy relative to the elements, uncorrected = -1.037 eV/atom

a = 8.5693 Å, b = 8.5693 Å, c = 13.8891 Å
α = 90.00°, β = 90.00°, γ = 152.11°
Last column: nearest neighbours and their distance in Å.
Element x y z (fractional)
Na1 0.0716 0.9284 0.5000  6 S 2.89-3.05
Na2 0.1263 0.8737 0.1453  3 S 2.93-3.04
Na3 0.8737 0.1263 0.6453  3 S 2.93-3.04
Na4 0.9284 0.0716 0.0000  6 S 2.89-3.05
Pa1 0.2435 0.7565 0.8822  6 S 2.56-2.73
Pa2 0.7565 0.2435 0.3822  6 S 2.56-2.73
Sb1 0.4527 0.5473 0.2779  2 S 2.44-2.71
Sb2 0.5473 0.4527 0.7779  2 S 2.44-2.71
S1 0.0864 0.9136 0.9032  1 Pa 2.63, 2 Sb 2.78
S2 0.2477 0.7523 0.5039  2 Pa 2.67, 1 Na 2.93
S3 0.2832 0.7168 0.2581  2 Pa 2.73, 1 Sb 2.83, 1 Na 3.04
S4 0.3937 0.6063 0.8436  1 Pa 2.56, 1 Sb 2.71
S5 0.4955 0.5045 0.6133  1 Sb 2.44
S6 0.5045 0.4955 0.1133  1 Sb 2.44
S7 0.6063 0.3937 0.3436  1 Pa 2.56, 1 Sb 2.71
S8 0.7168 0.2832 0.7581  2 Pa 2.73, 1 Sb 2.83, 1 Na 3.04
S9 0.7523 0.2477 0.0039  2 Pa 2.67, 1 Na 2.93
S10 0.9136 0.0864 0.4032  1 Pa 2.63, 2 Sb 2.78

Entry 10:
TmGa2Ir | GGA-PBE | relaxed

Values from the calculation:
ΔE_f = -14.48 kcal/mol of atoms
Raw total energy = -5.474 eV/atom
Spin magnetization = 0.0 μB per cell

a = 5.3578 Å, b = 5.3578 Å, c = 5.3578 Å
α = 46.61°, β = 46.61°, γ = 46.61°
Last column: nearest neighbours and their distance in Å.
Element x y z (fractional)
Tm1 0.0000 0.0000 0.0000  8 Ga 2.94-3.13
Ga1 0.2190 0.2190 0.2190  3 Ir 2.56
Ga2 0.7810 0.7810 0.7810  3 Ir 2.56
Ir1 0.5000 0.5000 0.5000  6 Ga 2.56

Entry 11:
Be2TlNi | GGA-PBE | relaxed

Values from the calculation:
ΔE_f = 8.43 kcal/mol of atoms
Polymorph energy (0 for the lowest one) = 211 meV/atom
Raw total energy = -3.535 eV/atom
Spin magnetization = 0.0 μB per cell

a = 4.6110 Å, b = 4.6110 Å, c = 4.6110 Å
α = 134.19°, β = 132.14°, γ = 68.41°
Last column: nearest neighbours and their distance in Å.
Element x y z (fractional)
Be1 0.0000 0.0000 0.0000  4 Be 2.51-2.79, 4 Ni 2.59, 4 Tl 2.64-2.65
Be2 0.7197 0.2197 0.5000  2 Ni 2.42, 2 Be 2.51, 4 Tl 2.61
Tl1 0.2543 0.7543 0.5000  8 Be 2.61-2.65, 4 Ni 2.64-2.65
Ni1 0.5074 0.5074 0.0000  6 Be 2.42-2.59, 4 Tl 2.64-2.65

Entry 12:
ZnSiAu2 | GGA-PBE | relaxed

Values from the calculation:
Raw total energy = -3.242 eV/atom
Spin magnetization = 0.0 μB per cell
Energy relative to the elements, uncorrected = 0.071 eV/atom

a = 4.7649 Å, b = 4.7649 Å, c = 2.9690 Å
α = 90.00°, β = 90.00°, γ = 90.08°
Last column: nearest neighbours and their distance in Å.
Element x y z (fractional)
Zn1 0.0000 0.0000 0.0000  8 Au 2.81, 2 Zn 2.97
Si1 0.5000 0.5000 0.0000  8 Au 2.81, 2 Si 2.97
Au1 0.0000 0.5000 0.5000  4 Si 2.81, 4 Zn 2.81, 2 Au 2.97
Au2 0.5000 0.0000 0.5000  4 Zn 2.81, 4 Si 2.81, 2 Au 2.97